(1)
Density functional theory data (GGA-PBE) for crystalline Ba2NdMnSe5 at its relaxed geometry.

It has space group Cmc2_1 (No. 36), with a = 4.371 Å, b = 18.909 Å, c = 13.509 Å, α = 90.00°, β = 90.00° and γ = 90.00°. The distinct sites, in fractional coordinates, are Ba at (0.000, 0.123, 0.000), Ba at (0.000, 0.124, 0.353), Nd at (0.000, 0.198, 0.692), Mn at (0.000, 0.441, 0.082), Se at (0.000, 0.035, 0.660), Se at (0.000, 0.305, 0.336), Se at (0.000, 0.314, 0.035), Se at (0.000, 0.349, 0.676) and Se at (0.000, 0.500, 0.427).

Its uncorrected formation energy is -35.75 kcal/mol of atoms.

(2)
Density functional theory data (GGA-PBE) for crystalline Y2FeAg at its relaxed geometry.

It has space group Pmmm (No. 47), with a = 3.367 Å, b = 3.391 Å, c = 7.496 Å, α = 90.00°, β = 90.00° and γ = 90.00°. The distinct sites, in fractional coordinates, are Y at (0.000, 0.000, 0.218), Fe at (0.500, 0.500, 0.000) and Ag at (0.500, 0.500, 0.500).

Its formation energy is -91 meV per atom.

(3)
Density functional theory data (GGA-PBE) for crystalline Sm7Al2Co2 at its relaxed geometry.

It has space group Cmmm (No. 65), with a = 7.855 Å, b = 11.111 Å, c = 6.958 Å, α = 90.00°, β = 90.00° and γ = 90.00°. The distinct sites, in fractional coordinates, are Sm at (0.000, 0.000, 0.000), Sm at (0.000, 0.500, 0.246), Sm at (0.250, 0.250, 0.252), Al at (0.164, 0.000, 0.500) and Co at (0.000, 0.296, 0.000).

Its formation energy is -95 meV per atom.

(4)
Density functional theory data (GGA-PBE) for crystalline Sm3Cd2Pd at its relaxed geometry.

It has space group P-3m1 (No. 164), with a = 5.2579 Å, b = 5.2579 Å, c = 6.5134 Å, α = 90.00°, β = 90.00° and γ = 120.00°. The distinct sites, in fractional coordinates, are Sm at (0.0000, 0.0000, 0.0000), Sm at (0.3333, 0.6667, 0.6448), Cd at (0.3333, 0.6667, 0.1430) and Pd at (0.0000, 0.0000, 0.5000).

Its formation energy is -451 meV per atom.

(5)
Density functional theory data (GGA-PBE) for crystalline Sm2Ag at its relaxed geometry.

It has space group I4/mmm (No. 139), with a = 3.681 Å, b = 3.681 Å, c = 12.708 Å, α = 90.00°, β = 90.00° and γ = 90.00°. The distinct sites, in fractional coordinates, are Sm at (0.000, 0.000, 0.148) and Ag at (0.000, 0.000, 0.500).

Its formation energy is -153 meV per atom.

(6)
Density functional theory data (GGA-PBE) for crystalline Nd4ErZn at its relaxed geometry.

It has space group P4/mmm (No. 123), with a = 3.662 Å, b = 3.662 Å, c = 13.939 Å, α = 90.00°, β = 90.00° and γ = 90.00°. The distinct sites, in fractional coordinates, are Nd at (0.000, 0.000, 0.132), Nd at (0.500, 0.500, 0.321), Er at (0.000, 0.000, 0.500) and Zn at (0.500, 0.500, 0.000).

Its formation energy is -92 meV per atom. As for the distance to the lowest polymorph of the same formula: 0 meV per atom.

(7)
Density functional theory data (GGA-PBE) for crystalline TlCuIr at its relaxed geometry.

It has space group F-43m (No. 216), with a = 6.030 Å, b = 6.030 Å, c = 6.030 Å, α = 90.00°, β = 90.00° and γ = 90.00°. The distinct sites, in fractional coordinates, are Tl at (0.000, 0.000, 0.000), Cu at (0.250, 0.250, 0.250) and Ir at (0.000, 0.000, 0.500).

Its formation energy is 582 meV per atom. As for the distance to the lowest polymorph of the same formula: 139 meV per atom.

(8)
Density functional theory data (GGA-PBE) for crystalline BeAl2Co3 at its relaxed geometry.

It has space group P4/mmm (No. 123), with a = 2.781 Å, b = 2.781 Å, c = 8.268 Å, α = 90.00°, β = 90.00° and γ = 90.00°. The distinct sites, in fractional coordinates, are Be at (0.000, 0.000, 0.000), Al at (0.000, 0.000, 0.321), Co at (0.500, 0.500, 0.149) and Co at (0.500, 0.500, 0.500).

Its formation energy is -501 meV per atom.

(9)
Density functional theory data (GGA-PBE) for crystalline Ca2IrAu at its relaxed geometry.

It has space group R-3m (No. 166, hexagonal axes), with a = 4.2113 Å, b = 4.2113 Å, c = 20.3786 Å, α = 90.00°, β = 90.00° and γ = 120.00°. The distinct sites, in fractional coordinates, are Ca at (0.0000, 0.0000, 0.2390), Ir at (0.0000, 0.0000, 0.5000) and Au at (0.0000, 0.0000, 0.0000).

Its formation energy is -209 meV per atom.

(10)
Density functional theory data (GGA-PBE) for crystalline Hf8VGa2 at its relaxed geometry.

It has space group C2/m (No. 12), with a = 15.350 Å, b = 4.401 Å, c = 7.172 Å, α = 90.00°, β = 112.17° and γ = 90.00°. The distinct sites, in fractional coordinates, are Hf at (0.034, 0.000, 0.283), Hf at (0.092, 0.500, 0.953), Hf at (0.168, 0.000, 0.745), Hf at (0.174, 0.500, 0.426), V at (0.000, 0.500, 0.500) and Ga at (0.202, 0.000, 0.167).

Its formation energy is -84 meV per atom.

(11)
Density functional theory data (GGA-PBE) for crystalline Ca2ZnBiP at its relaxed geometry.

It has space group P4/mmm (No. 123), with a = 5.545 Å, b = 5.545 Å, c = 4.532 Å, α = 90.00°, β = 90.00° and γ = 90.00°. The distinct sites, in fractional coordinates, are Ca at (0.000, 0.500, 0.000), Zn at (0.000, 0.000, 0.500), Bi at (0.500, 0.500, 0.500) and P at (0.000, 0.000, 0.000).

Its formation energy is -646 meV per atom.

(12)
Density functional theory data (GGA-PBE) for crystalline P2AuNO at its relaxed geometry.

It has space group P4/mmm (No. 123), with a = 4.049 Å, b = 4.049 Å, c = 3.759 Å, α = 90.00°, β = 90.00° and γ = 90.00°. The distinct sites, in fractional coordinates, are P at (0.000, 0.500, 0.000), Au at (0.000, 0.000, 0.500), N at (0.500, 0.500, 0.000) and O at (0.500, 0.500, 0.500).

Its uncorrected formation energy is 22.54 kcal/mol of atoms. As for the distance to the lowest polymorph of the same formula: 0 meV per atom.

(13)
Density functional theory data (GGA-PBE) for crystalline KRu2W at its relaxed geometry.

It has space group C2/m (No. 12), with a = 6.433 Å, b = 8.365 Å, c = 2.598 Å, α = 90.00°, β = 90.31° and γ = 90.00°. The distinct sites, in fractional coordinates, are K at (0.000, 0.000, 0.000), Ru at (0.250, 0.250, 0.500) and W at (0.000, 0.500, 0.000).

Its formation energy is 1301 meV per atom. As for the distance to the lowest polymorph of the same formula: 705 meV per atom.

(14)
Density functional theory data (GGA-PBE) for crystalline GdPuThPb at its relaxed geometry.

It has space group F-43m (No. 216), with a = 7.743 Å, b = 7.743 Å, c = 7.743 Å, α = 90.00°, β = 90.00° and γ = 90.00°. The distinct sites, in fractional coordinates, are Gd at (0.000, 0.000, 0.000), Pu at (0.000, 0.000, 0.500), Th at (0.250, 0.250, 0.250) and Pb at (0.250, 0.250, 0.750).

Its formation energy is 41 meV per atom.

no.,energy (eV per atom)
1,-5.4619
2,-6.1511
3,-5.0701
4,-3.9807
5,-4.2492
6,-4.2432
7,-4.5256
8,-5.9227
9,-4.2442
10,-8.7017
11,-3.5592
12,-4.4988
13,-6.8496
14,-9.8439